No. 1
# AlIr2Pt, relaxed, DFT PBE
data_AlIr2Pt
_cell_length_a 4.8324
_cell_length_b 4.8324
_cell_length_c 4.6860
_cell_angle_alpha 76.63
_cell_angle_beta 76.63
_cell_angle_gamma 33.44
_space_group_name_H-M_alt 'P 1'
_space_group_IT_number 1
_space_group_name_Hall 'P 1'
loop_
_atom_site_label
_atom_site_type_symbol
_atom_site_fract_x
_atom_site_fract_y
_atom_site_fract_z
_atom_site_occupancy
Ir1 Ir 0.9834 0.9834 0.0083 1
Ir2 Ir 0.5166 0.5166 0.4917 1
Al1 Al 0.2500 0.2500 0.2500 1
Pt1 Pt 0.7500 0.7500 0.7500 1
# total magnetization = 0.0 μB/cell
# E_form = -9.88 kcal/mol of atoms

---

No. 2
# Al2IrPt, relaxed, DFT PBE
data_Al2IrPt
_cell_length_a 4.3978
_cell_length_b 4.3978
_cell_length_c 4.9602
_cell_angle_alpha 79.13
_cell_angle_beta 79.13
_cell_angle_gamma 38.88
_space_group_name_H-M_alt 'P 1'
_space_group_IT_number 1
_space_group_name_Hall 'P 1'
loop_
_atom_site_label
_atom_site_type_symbol
_atom_site_fract_x
_atom_site_fract_y
_atom_site_fract_z
_atom_site_occupancy
Ir1 Ir 0.7500 0.7500 0.7500 1
Al1 Al 0.0021 0.0021 0.9938 1
Al2 Al 0.4979 0.4979 0.5062 1
Pt1 Pt 0.2500 0.2500 0.2500 1
# total magnetization = 0.0 μB/cell
# E_form = -15.75 kcal/mol of atoms

---

No. 3
# AlIr2Pt, relaxed, DFT PBE
data_AlIr2Pt
_cell_length_a 2.7774
_cell_length_b 4.6380
_cell_length_c 4.6176
_cell_angle_alpha 90.00
_cell_angle_beta 90.00
_cell_angle_gamma 90.00
_space_group_name_H-M_alt 'P 1'
_space_group_IT_number 1
_space_group_name_Hall 'P 1'
loop_
_atom_site_label
_atom_site_type_symbol
_atom_site_fract_x
_atom_site_fract_y
_atom_site_fract_z
_atom_site_occupancy
Ir1 Ir 0.0000 0.0000 0.0000 1
Ir2 Ir 0.5000 0.5000 0.0000 1
Al1 Al 0.0000 0.5000 0.5000 1
Pt1 Pt 0.5000 0.0000 0.5000 1
# total magnetization = 0.0 μB/cell
# E_form = -7.08 kcal/mol of atoms

---

No. 4
# AlIr2Pt, relaxed, DFT PBE
data_AlIr2Pt
_cell_length_a 8.7775
_cell_length_b 8.7775
_cell_length_c 8.7775
_cell_angle_alpha 18.37
_cell_angle_beta 18.37
_cell_angle_gamma 18.37
_space_group_name_H-M_alt 'P 1'
_space_group_IT_number 1
_space_group_name_Hall 'P 1'
loop_
_atom_site_label
_atom_site_type_symbol
_atom_site_fract_x
_atom_site_fract_y
_atom_site_fract_z
_atom_site_occupancy
Ir1 Ir 0.0060 0.0060 0.0060 1
Ir2 Ir 0.4940 0.4940 0.4940 1
Al1 Al 0.7500 0.7500 0.7500 1
Pt1 Pt 0.2500 0.2500 0.2500 1
# total magnetization = 0.0 μB/cell
# E_form = -6.91 kcal/mol of atoms

---

No. 5
# AlIrPt2, relaxed, DFT PBE
data_AlIrPt2
_cell_length_a 4.7219
_cell_length_b 4.7219
_cell_length_c 2.8273
_cell_angle_alpha 90.01
_cell_angle_beta 90.01
_cell_angle_gamma 109.27
_space_group_name_H-M_alt 'P 1'
_space_group_IT_number 1
_space_group_name_Hall 'P 1'
loop_
_atom_site_label
_atom_site_type_symbol
_atom_site_fract_x
_atom_site_fract_y
_atom_site_fract_z
_atom_site_occupancy
Ir1 Ir 0.0000 0.5000 0.5000 1
Al1 Al 0.5000 0.0000 0.5000 1
Pt1 Pt 0.0000 0.0000 0.0000 1
Pt2 Pt 0.5000 0.5000 0.0000 1
# total magnetization = 0.0 μB/cell
# E_form = -11.73 kcal/mol of atoms

---

No. 6
# AlIrPt2, relaxed, DFT PBE
data_AlIrPt2
_cell_length_a 8.8478
_cell_length_b 8.8478
_cell_length_c 8.8478
_cell_angle_alpha 18.31
_cell_angle_beta 18.31
_cell_angle_gamma 18.31
_space_group_name_H-M_alt 'P 1'
_space_group_IT_number 1
_space_group_name_Hall 'P 1'
loop_
_atom_site_label
_atom_site_type_symbol
_atom_site_fract_x
_atom_site_fract_y
_atom_site_fract_z
_atom_site_occupancy
Ir1 Ir 0.7574 0.7574 0.7574 1
Al1 Al 0.4989 0.4989 0.4989 1
Pt1 Pt 0.0014 0.0014 0.0014 1
Pt2 Pt 0.2423 0.2423 0.2423 1
# total magnetization = 0.0 μB/cell
# E_form = -10.04 kcal/mol of atoms

---

No. 7
# AlIr2Pt, relaxed, DFT PBE
data_AlIr2Pt
_cell_length_a 3.8997
_cell_length_b 3.8997
_cell_length_c 3.8339
_cell_angle_alpha 90.00
_cell_angle_beta 90.00
_cell_angle_gamma 90.00
_space_group_name_H-M_alt 'P 1'
_space_group_IT_number 1
_space_group_name_Hall 'P 1'
loop_
_atom_site_label
_atom_site_type_symbol
_atom_site_fract_x
_atom_site_fract_y
_atom_site_fract_z
_atom_site_occupancy
Ir1 Ir 0.0000 0.0000 0.0000 1
Ir2 Ir 0.5000 0.5000 0.0000 1
Al1 Al 0.0000 0.5000 0.5000 1
Pt1 Pt 0.5000 0.0000 0.5000 1
# total magnetization = 0.0 μB/cell
# E_form = -10.03 kcal/mol of atoms

---

No. 8
# AlIrPt3, relaxed, DFT PBE
data_AlIrPt3
_cell_length_a 4.4739
_cell_length_b 4.4739
_cell_length_c 4.4739
_cell_angle_alpha 90.00
_cell_angle_beta 90.00
_cell_angle_gamma 90.00
_space_group_name_H-M_alt 'P 1'
_space_group_IT_number 1
_space_group_name_Hall 'P 1'
loop_
_atom_site_label
_atom_site_type_symbol
_atom_site_fract_x
_atom_site_fract_y
_atom_site_fract_z
_atom_site_occupancy
Ir1 Ir 0.5000 0.5000 0.5000 1
Al1 Al 0.0000 0.0000 0.0000 1
Pt1 Pt 0.0000 0.5000 0.0000 1
Pt2 Pt 0.0000 0.0000 0.5000 1
Pt3 Pt 0.5000 0.0000 0.0000 1
# total magnetization = 0.0 μB/cell
# excess energy over the best structure of this formula in the dataset = 0 meV per atom
# E_form = 19.40 kcal/mol of atoms